1.
# KRbWN3

A relaxed structure of KRbWN3 (PBE-GGA, the Alexandria database).

```
data_KRbWN3
_space_group_name_H-M_alt 'C 1 2/c 1'
_space_group_IT_number 15
_cell_length_a 6.7424
_cell_length_b 12.9218
_cell_length_c 5.6286
_cell_angle_alpha 90.00
_cell_angle_beta 102.96
_cell_angle_gamma 90.00
loop_
_space_group_symop_operation_xyz
'x,y,z'
'-x,-y,-z'
'-x,y,-z+1/2'
'x,-y,z+1/2'
'x+1/2,y+1/2,z'
'-x+1/2,-y+1/2,-z'
'-x+1/2,y+1/2,-z+1/2'
'x+1/2,-y+1/2,z+1/2'
loop_
_atom_site_label
_atom_site_fract_x
_atom_site_fract_y
_atom_site_fract_z
K1 0.0000 0.2405 0.2500
Rb1 0.0000 0.4074 0.7500
W1 0.0000 0.0354 0.7500
N1 0.0000 0.1814 0.7500
N2 0.1828 0.0433 0.5022
```

Values from the calculation:
The calculation puts the raw formation energy at -0.131 eV/atom. The energy comes out at -163.13 eV per cell.

2.
# ScTlZn2F8

A relaxed structure of ScTlZn2F8 (PBE-GGA, the Alexandria database).

```
data_ScTlZn2F8
_space_group_name_H-M_alt 'R -3'
_space_group_IT_number 148
_space_group_name_Hall '-R 3'
_cell_length_a 5.3368
_cell_length_b 5.3368
_cell_length_c 24.1968
_cell_angle_alpha 90.00
_cell_angle_beta 90.00
_cell_angle_gamma 120.00
loop_
_atom_site_label
_atom_site_fract_x
_atom_site_fract_y
_atom_site_fract_z
Sc1 0.0000 0.0000 0.0000
Tl1 0.0000 0.0000 0.5000
Zn1 0.0000 0.0000 0.2525
F1 0.0000 0.0000 0.1754
F2 0.0121 0.3155 0.9507
```

Values from the calculation:
The calculation puts the raw formation energy at -2.711 eV/atom. The energy comes out at -176.26 eV per cell.

3.
# Tc2IrOs

A relaxed structure of Tc2IrOs (PBE-GGA, the Alexandria database).

```
data_Tc2IrOs
_space_group_name_H-M_alt 'C 1 m 1'
_space_group_IT_number 8
_cell_length_a 9.0712
_cell_length_b 2.7323
_cell_length_c 4.7464
_cell_angle_alpha 90.00
_cell_angle_beta 100.00
_cell_angle_gamma 90.00
loop_
_space_group_symop_operation_xyz
'x,y,z'
'x,-y,z'
'x+1/2,y+1/2,z'
'x+1/2,-y+1/2,z'
loop_
_atom_site_label
_atom_site_fract_x
_atom_site_fract_y
_atom_site_fract_z
Tc1 0.0000 0.0000 0.0000
Tc2 0.2469 0.0000 0.7448
Ir1 0.4972 0.0000 0.4970
Os1 0.2465 0.5000 0.2328
```

Values from the calculation:
For the formation energy, the calculation gives -0.033 eV/atom. The energy comes out at -81.91 eV per cell. The relative energy among the computed polymorphs comes out at 0.156 eV/atom.

Question: Which of these has the lowest energy?
Answer: ScTlZn2F8

Question: The highest energy belongs to which entry?
Answer: Tc2IrOs

Question: Among the records above, which one has the lowest energy?
Answer: ScTlZn2F8